No. 1
## Tb4PdSe3 (PBE-GGA)

Data for a relaxed structure of Tb4PdSe3.

Cell and atoms, written as CIF:
```
data_Tb4PdSe3
_chemical_formula_sum 'Tb4 Pd1 Se3'
_space_group_name_H-M_alt 'P m -3 m'
_space_group_IT_number 221
_space_group_name_Hall '-P 4 2 3'
_cell_length_a 5.814
_cell_length_b 5.814
_cell_length_c 5.814
_cell_angle_alpha 90.00
_cell_angle_beta 90.00
_cell_angle_gamma 90.00
loop_
_atom_site_label
_atom_site_type_symbol
_atom_site_fract_x
_atom_site_fract_y
_atom_site_fract_z
_atom_site_occupancy
Tb1 Tb 0.000 0.000 0.000 1
Tb2 Tb 0.000 0.500 0.500 1
Pd1 Pd 0.500 0.500 0.500 1
Se1 Se 0.000 0.000 0.500 1
```

Values from the calculation:
Theoretical density = 8.271 Mg/m³
M_tot = 0.5 μB/cell
Distance to the lowest polymorph of the same formula = 4.7 kJ per mole of atoms

No. 2
## TbPdSe2 (PBE-GGA)

Data for a relaxed structure of TbPdSe2.

Cell and atoms, written as CIF:
```
data_TbPdSe2
_chemical_formula_sum 'Tb3 Pd3 Se6'
_space_group_name_H-M_alt 'R 3 m'
_space_group_IT_number 160
_space_group_name_Hall 'R 3 -2"'
_cell_length_a 4.0525
_cell_length_b 4.0525
_cell_length_c 18.9184
_cell_angle_alpha 90.00
_cell_angle_beta 90.00
_cell_angle_gamma 120.00
loop_
_atom_site_label
_atom_site_type_symbol
_atom_site_fract_x
_atom_site_fract_y
_atom_site_fract_z
_atom_site_occupancy
Tb1 Tb 0.0000 0.0000 0.0000 1
Pd1 Pd 0.0000 0.0000 0.1747 1
Se1 Se 0.0000 0.0000 0.5771 1
Se2 Se 0.0000 0.0000 0.7575 1
```

Values from the calculation:
Theoretical density = 7.837 Mg/m³
M_tot = 0.0 μB/cell
Distance to the lowest polymorph of the same formula = 0.0 kJ per mole of atoms

No. 3
## TbPdSe2 (PBE-GGA)

Data for a relaxed structure of TbPdSe2.

Cell and atoms, written as CIF:
```
data_TbPdSe2
_chemical_formula_sum 'Tb3 Pd3 Se6'
_space_group_name_H-M_alt 'R -3 m'
_space_group_IT_number 166
_space_group_name_Hall '-R 3 2"'
_cell_length_a 3.8005
_cell_length_b 3.8005
_cell_length_c 24.9288
_cell_angle_alpha 90.00
_cell_angle_beta 90.00
_cell_angle_gamma 120.00
loop_
_atom_site_label
_atom_site_type_symbol
_atom_site_fract_x
_atom_site_fract_y
_atom_site_fract_z
_atom_site_occupancy
Tb1 Tb 0.0000 0.0000 0.0000 1
Pd1 Pd 0.0000 0.0000 0.5000 1
Se1 Se 0.0000 0.0000 0.1125 1
```

Values from the calculation:
Theoretical density = 6.762 Mg/m³
M_tot = 0.0 μB/cell
Distance to the lowest polymorph of the same formula = 58.1 kJ per mole of atoms

No. 4
## TbPdSe (PBE-GGA)

Data for a relaxed structure of TbPdSe.

Cell and atoms, written as CIF:
```
data_TbPdSe
_chemical_formula_sum 'Tb4 Pd4 Se4'
_space_group_name_H-M_alt 'P 42/m'
_space_group_IT_number 84
_cell_length_a 8.819
_cell_length_b 8.819
_cell_length_c 3.883
_cell_angle_alpha 90.00
_cell_angle_beta 90.00
_cell_angle_gamma 90.00
loop_
_space_group_symop_operation_xyz
'x,y,z'
'-x,-y,-z'
'-y,x,z+1/2'
'y,-x,-z+1/2'
'-x,-y,z'
'x,y,-z'
'y,-x,z+1/2'
'-y,x,-z+1/2'
loop_
_atom_site_label
_atom_site_type_symbol
_atom_site_fract_x
_atom_site_fract_y
_atom_site_fract_z
_atom_site_occupancy
Tb1 Tb 0.127 0.347 0.000 1
Pd1 Pd 0.108 0.116 0.500 1
Se1 Se 0.160 0.603 0.500 1
```

Values from the calculation:
Theoretical density = 7.574 Mg/m³
Calculated total energy = -65.3 eV for the cell shown
M_tot = 0.0 μB/cell

No. 5
## Tb7PdSe5 (PBE-GGA)

Data for a relaxed structure of Tb7PdSe5.

Cell and atoms, written as CIF:
```
data_Tb7PdSe5
_chemical_formula_sum 'Tb28 Pd4 Se20'
_space_group_name_H-M_alt 'C 1 2/m 1'
_space_group_IT_number 12
_cell_length_a 13.448
_cell_length_b 3.994
_cell_length_c 24.536
_cell_angle_alpha 90.00
_cell_angle_beta 90.02
_cell_angle_gamma 90.00
loop_
_space_group_symop_operation_xyz
'x,y,z'
'-x,-y,-z'
'-x,y,-z'
'x,-y,z'
'x+1/2,y+1/2,z'
'-x+1/2,-y+1/2,-z'
'-x+1/2,y+1/2,-z'
'x+1/2,-y+1/2,z'
loop_
_atom_site_label
_atom_site_type_symbol
_atom_site_fract_x
_atom_site_fract_y
_atom_site_fract_z
_atom_site_occupancy
Tb1 Tb 0.040 0.000 0.250 1
Tb2 Tb 0.087 0.500 0.386 1
Tb3 Tb 0.088 0.500 0.114 1
Tb4 Tb 0.139 0.000 0.538 1
Tb5 Tb 0.139 0.000 0.962 1
Tb6 Tb 0.201 0.500 0.820 1
Tb7 Tb 0.202 0.500 0.680 1
Pd1 Pd 0.195 0.500 0.250 1
Se1 Se 0.000 0.500 0.000 1
Se2 Se 0.000 0.500 0.500 1
Se3 Se 0.055 0.000 0.856 1
Se4 Se 0.056 0.000 0.644 1
Se5 Se 0.221 0.000 0.071 1
Se6 Se 0.221 0.000 0.429 1
```

Values from the calculation:
Theoretical density = 8.133 Mg/m³
Calculated total energy = -298.2 eV for the cell shown
M_tot = 0.0 μB/cell

No. 6
## Tb4PdSe5 (PBE-GGA)

Data for a relaxed structure of Tb4PdSe5.

Cell and atoms, written as CIF:
```
data_Tb4PdSe5
_chemical_formula_sum 'Tb8 Pd2 Se10'
_space_group_name_H-M_alt 'C 1 2/m 1'
_space_group_IT_number 12
_cell_length_a 17.930
_cell_length_b 4.113
_cell_length_c 8.435
_cell_angle_alpha 90.00
_cell_angle_beta 106.45
_cell_angle_gamma 90.00
loop_
_space_group_symop_operation_xyz
'x,y,z'
'-x,-y,-z'
'-x,y,-z'
'x,-y,z'
'x+1/2,y+1/2,z'
'-x+1/2,-y+1/2,-z'
'-x+1/2,y+1/2,-z'
'x+1/2,-y+1/2,z'
loop_
_atom_site_label
_atom_site_type_symbol
_atom_site_fract_x
_atom_site_fract_y
_atom_site_fract_z
_atom_site_occupancy
Tb1 Tb 0.003 0.000 0.263 1
Tb2 Tb 0.180 0.500 0.121 1
Pd1 Pd 0.000 0.500 0.000 1
Se1 Se 0.000 0.500 0.500 1
Se2 Se 0.161 0.000 0.867 1
Se3 Se 0.163 0.000 0.333 1
```

Values from the calculation:
Theoretical density = 6.329 Mg/m³
Calculated total energy = -112.7 eV for the cell shown
M_tot = 0.0 μB/cell